SrSmLu2 | GGA-PBE | optimized geometry

Geometry as CIF:
```
data_SrSmLu2
_symmetry_space_group_name_H-M 'P 1'
_symmetry_Int_Tables_number 1
_cell_length_a 3.665
_cell_length_b 3.665
_cell_length_c 10.506
_cell_angle_alpha 90.00
_cell_angle_beta 90.00
_cell_angle_gamma 90.00
loop_
_symmetry_equiv_pos_as_xyz
'x,y,z'
loop_
_atom_site_label
_atom_site_type_symbol
_atom_site_fract_x
_atom_site_fract_y
_atom_site_fract_z
Sr1 Sr 0.000 0.000 0.000
Sm1 Sm 0.000 0.000 0.500
Lu1 Lu 0.500 0.500 0.279
Lu2 Lu 0.500 0.500 0.721
```

Calculated values
- Spin magnetization: 0.00 Bohr magnetons per cell
- ΔH_f (0 K): 151.8 meV per atom
- Symmetry: P4/mmm